Record 1
5
Lattice="4.844 0.000 0.000 0.000 4.844 0.000 0.000 0.000 4.844" Properties=species:S:1:pos:R:3 comment="AgW3Au | Alexandria via LeMat-Bulk | GGA-PBE | relaxed" dft_energy_ev_per_cell=-31.4 e_form_kcal_per_mol_atoms=62.60 dos_at_fermi_per_ev_cell=5.77 pbc="T T T"
Au 0.000 0.000 0.000
Ag 2.422 2.422 2.422
W 0.000 2.422 0.000
W 0.000 0.000 2.422
W 2.422 0.000 0.000

***

Record 2
5
Lattice="-0.367 -2.423 -4.438 -1.604 -4.164 2.406 -4.795 1.578 -0.465" Properties=species:S:1:pos:R:3 comment="Ag3WAu | Alexandria via LeMat-Bulk | GGA-PBE | relaxed" dft_energy_ev_per_cell=-15.7 e_form_kcal_per_mol_atoms=41.87 dos_at_fermi_per_ev_cell=3.24 pbc="T T T"
Au -3.383 -2.505 -1.248
Ag -0.802 -2.082 1.203
Ag -2.398 0.789 -0.233
Ag -0.183 -1.212 -2.219
W 0.000 0.000 0.000

***

Record 3
5
Lattice="5.059 0.000 0.000 0.000 5.059 0.000 0.000 0.000 5.059" Properties=species:S:1:pos:R:3 comment="AgWAu3 | Alexandria via LeMat-Bulk | GGA-PBE | relaxed" dft_energy_ev_per_cell=-19.7 e_form_kcal_per_mol_atoms=27.41 dos_at_fermi_per_ev_cell=2.97 pbc="T T T"
Au 0.000 2.529 0.000
Au 0.000 0.000 2.529
Au 2.529 0.000 0.000
Ag 2.529 2.529 2.529
W 0.000 0.000 0.000

***

Record 4
5
Lattice="-0.309 -3.399 -3.751 4.589 -1.774 1.231 -2.137 -3.319 3.184" Properties=species:S:1:pos:R:3 comment="Ag3WAu | Alexandria via LeMat-Bulk | GGA-PBE | relaxed" dft_energy_ev_per_cell=-16.4 e_form_kcal_per_mol_atoms=38.52 dos_at_fermi_per_ev_cell=2.60 pbc="T T T"
Au 0.000 0.000 0.000
Ag 2.294 -0.887 0.615
Ag -1.069 -1.660 1.592
Ag -0.154 -1.700 -1.875
W 1.072 -4.246 0.332

***

Record 5
6
Lattice="2.278 -3.915 2.883 -2.800 -2.469 3.859 -1.577 -5.089 -0.665" Properties=species:S:1:pos:R:3 comment="Ag4WAu | Alexandria via LeMat-Bulk | GGA-PBE | relaxed" dft_energy_ev_per_cell=-23.1 e_form_kcal_per_mol_atoms=17.51 dos_at_fermi_per_ev_cell=4.41 pbc="T T T"
Ag 0.354 -6.261 3.722
Ag -1.577 -6.849 1.944
Ag -2.189 -5.537 4.210
Ag -0.787 -4.300 2.278
W 0.000 0.000 0.000
Au -1.575 -8.605 4.558

***

Record 6
5
Lattice="4.757 0.000 0.000 0.000 4.757 0.000 0.000 0.000 4.757" Properties=species:S:1:pos:R:3 comment="AgW3Au | Alexandria via LeMat-Bulk | GGA-PBE | relaxed" dft_energy_ev_per_cell=-30.9 e_form_kcal_per_mol_atoms=64.94 dos_at_fermi_per_ev_cell=10.85 pbc="T T T"
Au 2.378 2.378 2.378
Ag 0.000 0.000 0.000
W 0.000 2.378 0.000
W 0.000 0.000 2.378
W 2.378 0.000 0.000

***

Record 7
10
Lattice="-4.294 5.153 -4.650 -5.388 -5.921 -1.587 -1.967 1.004 2.929" Properties=species:S:1:pos:R:3 comment="Y2AgAu2 | Alexandria via LeMat-Bulk | GGA-PBE | relaxed" dft_energy_ev_per_cell=-49.5 e_form_kcal_per_mol_atoms=-11.14 dos_at_fermi_per_ev_cell=10.24 pbc="T T T"
Y -5.964 -3.220 -2.900
Y -7.165 0.395 -4.946
Y -3.718 2.452 -3.337
Y -2.516 -1.163 -1.291
Au -4.957 -2.560 -0.153
Au -8.373 -1.379 -2.852
Au -6.692 2.796 -3.155
Au -3.275 1.615 -0.456
Ag 0.000 0.000 0.000
Ag -4.841 -0.384 -3.119

***

Record 8
16
Lattice="-1.151 -4.346 -6.733 6.788 -4.144 1.515 -6.229 -0.103 5.999" Properties=species:S:1:pos:R:3 comment="Y5AgAu2 | Alexandria via LeMat-Bulk | GGA-PBE | relaxed" dft_energy_ev_per_cell=-91.5 e_form_kcal_per_mol_atoms=-11.59 dos_at_fermi_per_ev_cell=22.65 pbc="T T T"
Y -0.298 -5.206 1.867
Y 3.976 -7.595 -2.189
Y 0.000 0.000 0.000
Y 2.819 -4.245 -2.609
Y -4.568 -0.998 2.969
Y -3.903 -3.928 -0.120
Y -0.964 -2.276 4.957
Y 3.311 -4.664 0.901
Y 0.372 -6.317 -4.177
Y -0.294 -3.387 -1.087
Ag 1.113 -6.419 -0.914
Ag -1.705 -2.174 1.695
Au 2.324 -2.099 -0.354
Au 0.184 -3.317 -4.069
Au 5.453 -5.173 -1.149
Au 3.313 -6.391 -4.864

***

Record 9
5
Lattice="-3.012 -1.504 1.718 1.738 0.334 3.340 -3.971 7.186 3.487" Properties=species:S:1:pos:R:3 comment="Y2Ag2Au | Alexandria via LeMat-Bulk | GGA-PBE | relaxed" dft_energy_ev_per_cell=-23.3 e_form_kcal_per_mol_atoms=-6.56 dos_at_fermi_per_ev_cell=5.27 pbc="T T T"
Y -1.303 0.966 2.720
Y -3.943 5.050 5.824
Au 0.000 0.000 0.000
Ag -3.810 2.548 3.867
Ag -1.435 3.467 4.678

***

Record 10
9
Lattice="-0.237 -2.988 0.171 6.602 -2.242 -4.650 7.418 -1.843 3.437" Properties=species:S:1:pos:R:3 comment="YAg6Au2 | Alexandria via LeMat-Bulk | GGA-PBE | relaxed" dft_energy_ev_per_cell=-30.3 e_form_kcal_per_mol_atoms=-0.35 dos_at_fermi_per_ev_cell=3.66 pbc="T T T"
Y -0.237 -2.988 0.171
Ag 9.093 -3.854 -3.386
Ag 4.690 -3.219 2.343
Ag 4.160 -3.478 -2.906
Ag 7.030 -3.469 0.848
Ag 6.753 -3.604 -1.891
Ag 9.623 -3.595 1.864
Au 4.835 -1.870 -0.396
Au 8.948 -5.203 -0.646

***

Record 11
10
Lattice="3.609 0.000 0.000 0.000 3.609 0.000 0.000 0.000 18.455" Properties=species:S:1:pos:R:3 comment="Y5Ag4Au | Alexandria via LeMat-Bulk | GGA-PBE | relaxed" dft_energy_ev_per_cell=-51.4 e_form_kcal_per_mol_atoms=-10.18 dos_at_fermi_per_ev_cell=4.50 pbc="T T T"
Y 1.805 1.805 1.793
Y 1.805 1.805 5.516
Y 1.805 1.805 9.227
Y 1.805 1.805 12.939
Y 1.805 1.805 16.661
Ag 0.000 0.000 3.683
Ag 0.000 0.000 7.372
Ag 0.000 0.000 11.082
Ag 0.000 0.000 14.772
Au 0.000 0.000 0.000

***

Record 12
12
Lattice="5.271 0.398 0.331 2.182 7.091 -1.084 2.172 0.385 7.166" Properties=species:S:1:pos:R:3 comment="YAgAu | Alexandria via LeMat-Bulk | GGA-PBE | relaxed" dft_energy_ev_per_cell=-57.8 e_form_kcal_per_mol_atoms=-14.25 dos_at_fermi_per_ev_cell=4.22 pbc="T T T"
Ag 5.292 5.178 5.930
Ag 6.510 6.432 3.525
Ag 4.333 2.694 0.483
Ag 3.115 1.441 2.889
Y 2.789 3.808 4.811
Y 2.794 7.161 0.686
Y 6.836 4.065 1.602
Y 6.830 0.712 5.727
Au 5.593 2.819 4.013
Au 5.598 6.172 -0.113
Au 4.032 5.054 2.401
Au 4.027 1.701 6.526

***

Record 13
4
Lattice="3.624 0.000 0.000 0.000 3.566 0.009 0.000 3.550 6.405" Properties=species:S:1:pos:R:3 comment="YAgAu2 | Alexandria via LeMat-Bulk | GGA-PBE | relaxed" dft_energy_ev_per_cell=-18.1 e_form_kcal_per_mol_atoms=-12.66 dos_at_fermi_per_ev_cell=1.53 pbc="T T T"
Y 1.812 1.779 1.603
Au 0.000 3.551 6.305
Au 0.000 3.557 3.306
Ag 1.812 5.337 4.810

***

Record 14
24
Lattice="-1.117 3.390 -0.805 2.306 -2.240 -12.627 -12.130 -3.147 3.570" Properties=species:S:1:pos:R:3 comment="Y11Ag9Au4 | Alexandria via LeMat-Bulk | GGA-PBE | relaxed" dft_energy_ev_per_cell=-121.4 e_form_kcal_per_mol_atoms=-11.05 dos_at_fermi_per_ev_cell=15.49 pbc="T T T"
Y -9.911 -4.239 -4.104
Y 0.087 -1.148 -4.953
Y -4.986 -3.929 -9.630
Y -4.838 -1.457 0.573
Y -2.817 -2.562 -6.879
Y -7.007 -2.825 -2.178
Y -0.118 -2.392 -9.907
Y -9.705 -2.994 0.850
Y 0.000 0.000 0.000
Y -7.133 -3.911 -6.576
Y -2.691 -1.475 -2.481
Ag -0.892 -0.181 -7.838
Ag -10.048 -1.815 -2.024
Ag -7.866 -0.619 -0.013
Ag -3.074 -1.377 -9.850
Ag -10.233 -3.064 -7.025
Ag -0.707 1.068 -2.838
Ag -7.985 -2.923 -9.548
Ag -2.956 0.927 -0.315
Ag -5.470 -0.998 -4.931
Au -8.298 -1.877 -4.711
Au -2.642 -0.119 -5.151
Au -5.532 -1.703 -7.815
Au -5.408 -0.293 -2.047

***

Record 15
4
Lattice="-0.886 -3.271 1.310 2.773 0.214 2.409 -3.804 2.689 4.140" Properties=species:S:1:pos:R:3 comment="YAgAu2 | Alexandria via LeMat-Bulk | GGA-PBE | relaxed" dft_energy_ev_per_cell=-17.7 e_form_kcal_per_mol_atoms=-10.36 dos_at_fermi_per_ev_cell=2.49 pbc="T T T"
Ag -2.018 0.565 5.082
Au -3.768 2.664 4.100
Au 0.020 -0.876 2.865
Y -1.858 1.313 2.022

***

Record 16
10
Lattice="7.837 0.000 0.000 0.000 7.837 0.000 0.000 0.000 3.809" Properties=species:S:1:pos:R:3 comment="Y2AgAu2 | Alexandria via LeMat-Bulk | GGA-PBE | relaxed" dft_energy_ev_per_cell=-51.6 e_form_kcal_per_mol_atoms=-16.01 dos_at_fermi_per_ev_cell=6.91 pbc="T T T"
Y 1.322 5.241 1.904
Y 5.241 6.515 1.904
Y 6.515 2.596 1.904
Y 2.596 1.322 1.904
Au 2.890 6.808 0.000
Au 6.808 4.948 0.000
Au 4.948 1.029 0.000
Au 1.029 2.890 0.000
Ag 0.000 0.000 0.000
Ag 3.919 3.919 0.000

***

Record 17
5
Lattice="-1.885 -3.590 -3.741 1.984 -4.177 3.009 -4.790 -0.318 2.718" Properties=species:S:1:pos:R:3 comment="Y3AgAu | Alexandria via LeMat-Bulk | GGA-PBE | relaxed" dft_energy_ev_per_cell=-25.3 e_form_kcal_per_mol_atoms=0.97 dos_at_fermi_per_ev_cell=8.28 pbc="T T T"
Y 0.992 -2.088 1.504
Y -2.395 -0.159 1.359
Y -0.942 -1.795 -1.870
Au 0.000 0.000 0.000
Ag -2.345 -4.042 0.993

***

Record 18
12
Lattice="5.811 -0.848 0.000 -1.073 5.774 0.000 -2.369 -2.463 8.119" Properties=species:S:1:pos:R:3 comment="Y2AgAu3 | Alexandria via LeMat-Bulk | GGA-PBE | relaxed" dft_energy_ev_per_cell=-58.9 e_form_kcal_per_mol_atoms=-14.82 dos_at_fermi_per_ev_cell=9.36 pbc="T T T"
Y -0.537 2.887 4.060
Y 3.556 3.697 0.000
Y 2.906 -0.424 4.060
Y 1.182 1.229 0.000
Ag 2.369 2.463 2.708
Ag 0.000 0.000 5.411
Au 0.665 4.101 1.374
Au -1.704 1.639 6.745
Au 1.704 -1.639 6.745
Au 4.072 0.824 1.374
Au 0.000 0.000 2.700
Au 2.369 2.463 5.419

***

Record 19
4
Lattice="4.154 0.000 0.000 2.077 3.597 0.000 2.077 1.199 6.465" Properties=species:S:1:pos:R:3 comment="YAgAu2 | Alexandria via LeMat-Bulk | GGA-PBE | relaxed" dft_energy_ev_per_cell=-17.4 e_form_kcal_per_mol_atoms=-8.84 dos_at_fermi_per_ev_cell=1.69 pbc="T T T"
Y 6.231 3.597 6.433
Ag 4.154 2.398 3.269
Au 2.077 1.199 4.732
Au 2.077 1.199 1.728

***

Record 20
12
Lattice="-2.221 -2.009 4.202 5.743 1.908 3.951 -4.425 5.832 3.617" Properties=species:S:1:pos:R:3 comment="Y6Ag5Au | Alexandria via LeMat-Bulk | GGA-PBE | relaxed" dft_energy_ev_per_cell=-61.4 e_form_kcal_per_mol_atoms=-9.79 dos_at_fermi_per_ev_cell=6.02 pbc="T T T"
Y 0.999 1.679 7.669
Y -1.883 0.722 5.686
Y 0.305 -0.534 3.075
Y 3.218 0.434 5.078
Y 0.981 5.010 6.084
Y -1.901 4.053 4.101
Au 0.000 0.000 0.000
Ag -1.561 3.507 7.189
Ag -2.244 1.334 2.620
Ag 2.872 0.954 1.976
Ag -4.401 2.489 5.199
Ag 0.658 2.225 4.581